The following is a PBE+U calculation of a relaxed VIF3 crystal, from Alexandria via LeMat-Bulk.

```
VIF3
1.0
-2.9275 -3.6318 -1.0624
1.8560 -2.5487 3.5984
-3.2976 1.7898 2.9685
F V I
3 1 1
Direct
0.5000 0.0000 0.0000
0.0000 0.5000 0.0000
0.0000 0.0000 0.5000
0.5000 0.5000 0.5000
0.0000 0.0000 0.0000
```

Summary:
The space group is Pm-3m, No. 221. The calculation puts the distance to the lowest polymorph of the same formula at 1850 meV per atom. The crystal system is cubic.